Cs2Ca2S3O12 at its PBEsol-relaxed geometry, computed with meta-GGA SCAN.

Summary:
size of the total moment = 0.000 μB/atom
ΔE_f (raw) = -2.36 eV per atom

Structure (extended XYZ):
```
76
Lattice="10.7180 0.0000 0.0000 0.0000 10.7180 0.0000 0.0000 0.0000 10.7180" Properties=species:S:1:pos:R:3 pbc="T T T"
Cs 0.5108 0.5108 0.5108
Cs 1.9543 3.4047 7.3133
Cs 3.4047 7.3133 1.9543
Cs 4.8482 10.2071 5.8698
Cs 5.8698 4.8482 10.2071
Cs 7.3133 1.9543 3.4047
Cs 8.7637 8.7637 8.7637
Cs 10.2071 5.8698 4.8482
Ca 1.0372 9.6808 4.3218
Ca 1.7795 7.1385 8.9385
Ca 3.5795 3.5795 3.5795
Ca 4.3218 1.0372 9.6808
Ca 6.3962 6.3962 6.3962
Ca 7.1385 8.9385 1.7795
Ca 8.9385 1.7795 7.1385
Ca 9.6808 4.3218 1.0372
S 0.1557 2.3516 4.0205
S 1.3385 10.5623 7.7106
S 2.3516 4.0205 0.1557
S 3.0073 6.6975 5.5146
S 4.0205 0.1557 2.3516
S 5.2033 8.3663 9.3795
S 5.5146 3.0073 6.6975
S 6.6975 5.5146 3.0073
S 7.7106 1.3385 10.5623
S 8.3663 9.3795 5.2033
S 9.3795 5.2033 8.3663
S 10.5623 7.7106 1.3385
O 0.0795 0.9375 3.5779
O 0.0886 0.6296 7.8961
O 0.4339 8.5786 2.3874
O 0.6296 7.8961 0.0886
O 0.9375 3.5779 0.0795
O 1.0808 9.1589 8.0998
O 1.5591 2.7409 4.2782
O 1.7811 10.6385 6.2965
O 2.1394 7.7464 4.9251
O 2.3874 0.4339 8.5786
O 2.5371 5.2704 10.0884
O 2.6181 6.4398 6.9180
O 2.7409 4.2782 1.5591
O 2.8219 5.4476 4.7294
O 2.9716 10.2841 3.2196
O 3.2196 2.9716 10.2841
O 3.5779 0.0795 0.9375
O 3.7999 7.9771 9.6372
O 4.2782 1.5591 2.7409
O 4.4215 7.1401 5.4385
O 4.7294 2.8219 5.4476
O 4.9251 2.1394 7.7464
O 5.2704 10.0884 2.5371
O 5.2795 9.7805 8.9369
O 5.4385 4.4215 7.1401
O 5.4476 4.7294 2.8219
O 5.7929 7.4984 8.3306
O 5.9886 8.1809 10.6294
O 6.2965 1.7811 10.6385
O 6.4398 6.9180 2.6181
O 6.9180 2.6181 6.4398
O 7.1401 5.4385 4.4215
O 7.4984 8.3306 5.7929
O 7.7464 4.9251 2.1394
O 7.8961 0.0886 0.6296
O 7.9771 9.6372 3.7999
O 8.0998 1.0808 9.1589
O 8.1809 10.6294 5.9886
O 8.3306 5.7929 7.4984
O 8.5786 2.3874 0.4339
O 8.9369 5.2795 9.7805
O 9.1589 8.0998 1.0808
O 9.6372 3.7999 7.9771
O 9.7805 8.9369 5.2795
O 10.0884 2.5371 5.2704
O 10.2841 3.2196 2.9716
O 10.6294 5.9886 8.1809
O 10.6385 6.2965 1.7811
```

***

CsCa2Ta3O10 at its PBEsol-relaxed geometry, computed with meta-GGA SCAN.

Summary:
size of the total moment = 0.000 μB/atom
ΔE_f (raw) = -3.13 eV per atom

Structure (extended XYZ):
```
16
Lattice="3.9109 0.0000 0.0000 0.0000 3.9109 0.0000 0.0000 0.0000 15.2340" Properties=species:S:1:pos:R:3 pbc="T T T"
Cs 0.0000 0.0000 0.0000
Ca 0.0000 0.0000 5.3530
Ca 0.0000 0.0000 9.8809
Ta 1.9555 1.9555 3.4028
Ta 1.9555 1.9555 7.6170
Ta 1.9555 1.9555 11.8312
O 0.0000 1.9555 3.8204
O 0.0000 1.9555 7.6170
O 0.0000 1.9555 11.4136
O 1.9555 0.0000 3.8204
O 1.9555 0.0000 7.6170
O 1.9555 0.0000 11.4136
O 1.9555 1.9555 1.6122
O 1.9555 1.9555 5.6646
O 1.9555 1.9555 9.5693
O 1.9555 1.9555 13.6217
```